# 1
Ba2Ga3AgPt4 after structural relaxation, computed with GGA-PBE.

extended XYZ file:
```
10
Lattice="-4.311 -1.378 -0.466 1.448 -3.928 -1.781 0.320 -4.278 9.695" Properties=species:S:1:pos:R:3 pbc="T T T"
Ba 0.964 -5.180 6.397
Ba -2.076 -1.751 2.174
Ga -1.873 -4.476 8.350
Ga 0.160 -2.139 4.847
Ga 0.761 -2.455 0.221
Pt 0.838 -3.485 2.557
Pt 0.000 0.000 0.000
Pt -1.950 -3.446 6.014
Pt -1.431 -2.653 -1.124
Ag -1.271 -4.792 3.724
```

Results
* DFT formation energy: -664 kJ/mol of formula units
* space-group type: P-4m2
* M_tot: 0.00 μB per formula unit

***

# 2
BaGa4AgPt2 after structural relaxation, computed with GGA-PBE.

extended XYZ file:
```
8
Lattice="4.383 0.000 0.000 2.191 3.795 0.000 2.191 1.265 9.895" Properties=species:S:1:pos:R:3 pbc="T T T"
Pt 2.191 1.265 3.111
Pt 6.574 3.795 6.784
Ga 4.383 2.530 7.703
Ga 6.574 3.795 3.804
Ga 4.383 2.530 2.192
Ga 2.191 1.265 6.091
Ba 0.000 0.000 0.000
Ag 4.383 2.530 4.947
```

Results
* DFT formation energy: -377 kJ/mol of formula units
* space-group type: R-3m
* M_tot: 0.00 μB per formula unit

***

# 3
BaGa2AgPt after structural relaxation, computed with GGA-PBE.

extended XYZ file:
```
5
Lattice="4.852 0.000 0.000 0.000 4.852 0.000 0.000 0.000 5.395" Properties=species:S:1:pos:R:3 pbc="T T T"
Ga 0.000 2.426 0.000
Ga 2.426 0.000 0.000
Ag 0.000 0.000 2.697
Ba 2.426 2.426 2.697
Pt 0.000 0.000 0.000
```

Results
* DFT formation energy: -209 kJ/mol of formula units
* space-group type: P4/mmm
* M_tot: 0.00 μB per formula unit

***

# 4
Ba2Ga12AgPt3 after structural relaxation, computed with GGA-PBE.

extended XYZ file:
```
18
Lattice="-7.784 0.380 2.292 -1.357 -6.160 5.118 -0.199 3.056 7.524" Properties=species:S:1:pos:R:3 pbc="T T T"
Ga -6.812 -3.966 6.311
Ga -5.343 -0.152 3.155
Ga -7.350 -0.459 5.297
Ga -1.990 -2.265 9.637
Ga -1.318 1.268 5.931
Ga -3.997 -2.572 11.779
Ga -2.528 1.242 8.624
Ga -6.075 1.893 7.840
Ga -8.022 -3.992 9.003
Ga -7.407 0.899 10.279
Ga -1.933 -3.622 4.655
Ga -3.265 -4.617 7.094
Ag 0.000 0.000 0.000
Pt -0.099 1.528 3.762
Pt -3.892 0.190 1.146
Pt -0.679 -3.080 2.559
Ba -3.572 -1.042 5.712
Ba -5.768 -1.682 9.223
```

Results
* DFT formation energy: -357 kJ/mol of formula units
* space-group type: R-3m
* M_tot: 0.00 μB per formula unit

***

# 5
Ba2Ga4AgPt3 after structural relaxation, computed with GGA-PBE.

extended XYZ file:
```
10
Lattice="-2.773 -1.211 3.485 -2.515 -2.570 -2.894 6.066 -8.171 1.987" Properties=species:S:1:pos:R:3 pbc="T T T"
Ga 1.020 -4.353 -0.701
Ga -2.644 -1.891 0.296
Ga 0.000 0.000 0.000
Ga 2.401 -5.709 2.983
Ag 0.389 -5.976 1.289
Ba 3.292 -7.413 0.043
Ba 0.130 -2.649 2.239
Pt 3.033 -4.086 0.993
Pt -0.523 -2.274 -1.207
Pt 3.945 -7.788 3.489
```

Results
* DFT formation energy: -657 kJ/mol of formula units
* space-group type: P-4m2
* M_tot: 0.00 μB per formula unit

***

# 6
Ba2GaAgRh after structural relaxation, computed with GGA-PBE.

extended XYZ file:
```
10
Lattice="4.627 0.000 0.000 0.000 4.627 0.000 0.000 0.000 15.374" Properties=species:S:1:pos:R:3 pbc="T T T"
Ga 0.000 2.313 6.590
Ga 2.313 0.000 8.784
Ag 2.313 0.000 1.735
Ag 0.000 2.313 13.638
Ba 2.313 0.000 5.224
Ba 0.000 2.313 1.669
Ba 2.313 0.000 13.705
Ba 0.000 2.313 10.150
Rh 2.313 2.313 7.687
Rh 0.000 0.000 7.687
```

Results
* excess energy over the best structure of this formula in the dataset: 0.000 eV/f.u.
* DFT formation energy: -185 kJ/mol of formula units
* space-group type: P4/nmm
* M_tot: 0.00 μB per formula unit

***

# 7
Ba2GaAgRh after structural relaxation, computed with GGA-PBE.

extended XYZ file:
```
5
Lattice="-1.019 1.790 -5.645 -0.860 -5.712 -1.656 -4.696 0.423 0.982" Properties=species:S:1:pos:R:3 pbc="T T T"
Ba -0.430 -2.856 -0.828
Ba -0.509 0.895 -2.822
Ag -3.288 -1.749 -3.160
Rh 0.000 0.000 0.000
Ga -2.348 0.211 0.491
```

Results
* excess energy over the best structure of this formula in the dataset: 0.560 eV/f.u.
* DFT formation energy: -131 kJ/mol of formula units
* space-group type: P4/mmm
* M_tot: 0.00 μB per formula unit

***

# 8
BaGaAgS3 after structural relaxation, computed with GGA-PBE.

extended XYZ file:
```
12
Lattice="6.928 -0.078 0.046 3.178 6.157 0.046 2.846 1.712 7.389" Properties=species:S:1:pos:R:3 pbc="T T T"
S 5.858 5.598 6.124
S 5.262 5.240 1.357
S 4.335 2.607 4.620
S 8.618 5.184 2.860
S 7.095 2.193 1.357
S 7.690 2.551 6.124
Ag 5.696 5.193 3.740
Ag 7.256 2.598 3.740
Ba 3.616 2.175 1.570
Ba 9.336 5.616 5.911
Ga 10.269 6.177 1.870
Ga 2.683 1.614 5.610
```

Results
* ΔE_f (raw): -5.642 eV/f.u.
* space-group type: C2/m
* M_tot: 0.00 μB per formula unit

***

Question: M_tot of number 1 (Ba2Ga3AgPt4)?
Answer: 0.00 μB per formula unit

***

Question: Number 5 is which compound?
Answer: Ba2Ga4AgPt3